# Na4U3Te8 | Alexandria | GGA-PBE | optimized geometry
# total moment: 12.0 Bohr magnetons per cell
# distance to the lowest polymorph of the same formula: 71 meV per atom
# raw formation energy: -0.68 eV/atom
data_Na4U3Te8
_space_group_name_H-M_alt 'C 1 2/m 1'
_space_group_IT_number 12
_space_group_name_Hall '-C 2y'
_cell_length_a 12.263
_cell_length_b 12.560
_cell_length_c 8.805
_cell_angle_alpha 90.00
_cell_angle_beta 133.95
_cell_angle_gamma 90.00
loop_
_atom_site_label
_atom_site_type_symbol
_atom_site_fract_x
_atom_site_fract_y
_atom_site_fract_z
Na1 Na 0.000 0.000 0.000
Na2 Na 0.000 0.500 0.500
Na3 Na 0.250 0.250 0.000
U1 U 0.000 0.500 0.000
U2 U 0.250 0.250 0.500
Te1 Te 0.000 0.245 0.500
Te2 Te 0.000 0.253 0.000
Te3 Te 0.237 0.500 0.003
Te4 Te 0.244 0.000 0.513

=====

# BeSnSbTe2 | Alexandria | GGA-PBE | optimized geometry
# total moment: 0.0 Bohr magnetons per cell
# distance to the lowest polymorph of the same formula: 0 meV per atom
# raw formation energy: 0.27 eV/atom
data_BeSnSbTe2
_space_group_name_H-M_alt 'P 4/m m m'
_space_group_IT_number 123
_space_group_name_Hall '-P 4 2'
_cell_length_a 5.299
_cell_length_b 5.299
_cell_length_c 4.693
_cell_angle_alpha 90.00
_cell_angle_beta 90.00
_cell_angle_gamma 90.00
loop_
_atom_site_label
_atom_site_type_symbol
_atom_site_fract_x
_atom_site_fract_y
_atom_site_fract_z
Be1 Be 0.000 0.000 0.000
Sn1 Sn 0.500 0.500 0.500
Sb1 Sb 0.000 0.000 0.500
Te1 Te 0.000 0.500 0.000

=====

# Cs12H5F3 | Alexandria | GGA-PBE | optimized geometry
# total moment: 6.1 Bohr magnetons per cell
# E: -2.3259 eV/atom
data_Cs12H5F3
_space_group_name_H-M_alt 'I a -3 d'
_space_group_IT_number 230
_space_group_name_Hall '-I 4bd 2c 3'
_cell_length_a 19.740
_cell_length_b 19.740
_cell_length_c 19.740
_cell_angle_alpha 90.00
_cell_angle_beta 90.00
_cell_angle_gamma 90.00
loop_
_atom_site_label
_atom_site_type_symbol
_atom_site_fract_x
_atom_site_fract_y
_atom_site_fract_z
Cs1 Cs 0.019 0.028 0.343
H1 H 0.000 0.000 0.000
H2 H 0.000 0.250 0.375
F1 F 0.000 0.250 0.125

=====

# SmHo4Pd4 | Alexandria | GGA-PBE | optimized geometry
# formation energy: -6.0 eV/f.u.
# total moment: 0.0 Bohr magnetons per cell
data_SmHo4Pd4
_space_group_name_H-M_alt 'P 42/n'
_space_group_IT_number 86
_cell_length_a 9.020
_cell_length_b 9.020
_cell_length_c 5.755
_cell_angle_alpha 90.00
_cell_angle_beta 90.00
_cell_angle_gamma 90.00
loop_
_space_group_symop_operation_xyz
'x,y,z'
'-x,-y,-z'
'-y,x+1/2,z+1/2'
'y,-x+1/2,-z+1/2'
'-x+1/2,-y+1/2,z'
'x+1/2,y+1/2,-z'
'y+1/2,-x,z+1/2'
'-y+1/2,x,-z+1/2'
loop_
_atom_site_label
_atom_site_type_symbol
_atom_site_fract_x
_atom_site_fract_y
_atom_site_fract_z
Sm1 Sm 0.250 0.250 0.250
Ho1 Ho 0.075 0.655 0.163
Pd1 Pd 0.037 0.623 0.660

=====

# Li4ErPd | Alexandria | GGA-PBE | optimized geometry
# formation energy: -0.5 eV/f.u.
# total moment: 0.2 Bohr magnetons per cell
data_Li4ErPd
_space_group_name_H-M_alt 'F -4 3 m'
_space_group_IT_number 216
_space_group_name_Hall 'F -4 2 3'
_cell_length_a 7.413
_cell_length_b 7.413
_cell_length_c 7.413
_cell_angle_alpha 90.00
_cell_angle_beta 90.00
_cell_angle_gamma 90.00
loop_
_atom_site_label
_atom_site_type_symbol
_atom_site_fract_x
_atom_site_fract_y
_atom_site_fract_z
Li1 Li 0.122 0.122 0.378
Er1 Er 0.000 0.000 0.000
Pd1 Pd 0.250 0.250 0.750

=====

# CuSi2As | Alexandria | GGA-PBE | optimized geometry
# total moment: 0.0 Bohr magnetons per cell
# distance to the lowest polymorph of the same formula: 138 meV per atom
# raw formation energy: 0.35 eV/atom
data_CuSi2As
_space_group_name_H-M_alt 'P 4/m m m'
_space_group_IT_number 123
_space_group_name_Hall '-P 4 2'
_cell_length_a 2.533
_cell_length_b 2.533
_cell_length_c 10.768
_cell_angle_alpha 90.00
_cell_angle_beta 90.00
_cell_angle_gamma 90.00
loop_
_atom_site_label
_atom_site_type_symbol
_atom_site_fract_x
_atom_site_fract_y
_atom_site_fract_z
Cu1 Cu 0.000 0.000 0.000
Si1 Si 0.500 0.500 0.181
As1 As 0.000 0.000 0.500

=====

Which value of total moment does entry 3 give?
6.1 Bohr magnetons per cell